[1]
{"formula": "Nb2GaNiC", "functional": "SCAN", "state": "PBEsol geometry", "cell": [[3.403, 0.000, 0.000], [0.000, 4.759, 0.000], [0.000, 0.000, 4.759]], "species": ["C", "Ni", "Nb", "Ga", "Nb"], "frac_coords": [[0.500, 0.000, 0.000], [0.000, 0.000, 0.000], [0.000, 0.500, 0.000], [0.500, 0.500, 0.500], [0.000, 0.000, 0.500]], "magnetic_moment_mub_per_cell": 0.0, "formation_energy_ev_per_atom": 0.775, "sg": "P4/mmm"}

[2]
{"formula": "YNb2GaC", "functional": "SCAN", "state": "PBEsol geometry", "cell": [[4.164, 0.000, 0.000], [0.000, 5.017, 0.000], [0.000, 0.000, 5.017]], "species": ["Nb", "Y", "C", "Nb", "Ga"], "frac_coords": [[0.000, 0.000, 0.500], [0.000, 0.000, 0.000], [0.500, 0.000, 0.000], [0.000, 0.500, 0.000], [0.500, 0.500, 0.500]], "magnetic_moment_mub_per_cell": 0.0, "formation_energy_ev_per_atom": 2.327, "sg": "P4/mmm"}

[3]
{"formula": "Nd3GaC", "functional": "SCAN", "state": "PBEsol geometry", "cell": [[-0.126, -4.036, -3.579], [-2.192, -3.232, 3.723], [-4.928, 1.541, -1.564]], "species": ["Ga", "Nd", "Nd", "C", "Nd"], "frac_coords": [[0.500, 0.500, 0.500], [0.500, 0.500, 0.000], [0.000, 0.500, 0.500], [0.000, 0.000, 0.000], [0.500, 0.000, 0.500]], "magnetic_moment_mub_per_cell": 0.0, "formation_energy_ev_per_atom": 1.149, "sg": "Pm-3m"}

[4]
{"formula": "GaOsRuC2", "functional": "SCAN", "state": "PBEsol geometry", "cell": [[-0.956, -3.668, 0.468], [3.632, -0.840, 0.829], [-0.951, 0.895, 5.073]], "species": ["C", "C", "Ga", "Os", "Ru"], "frac_coords": [[0.000, 0.500, 0.000], [0.500, 0.000, 0.000], [0.500, 0.500, 0.500], [0.000, 0.000, 0.000], [0.000, 0.000, 0.500]], "magnetic_moment_mub_per_cell": 2.2, "formation_energy_ev_per_atom": 1.486, "sg": "P4/mmm"}